Entry 1:
A geometry-optimized RbP3Br structure. Source: the Alexandria database, functional GGA-PBEsol.

Unit cell a=6.5822 b=6.5822 c=6.5822 alpha=90.00 beta=90.00 gamma=90.00
With the nearest neighbours (Å) after each atom.
Element x y z (fractional)
Rb1 0.0000 0.0000 0.0000  6 P 3.29
P1 0.0000 0.0000 0.5000  2 Rb 3.29
P2 0.0000 0.5000 0.0000  2 Rb 3.29
P3 0.5000 0.0000 0.0000  2 Rb 3.29
Br1 0.5000 0.5000 0.5000  12 P 4.65

Output
Calculated total energy: -2.031 eV per atom
Energy relative to the elements, uncorrected: 2.023 eV per atom
Fermi-level density of states: 9.9 states/eV/cell
Space-group type: No. 221

***

Entry 2:
A geometry-optimized Ta2RePBr structure. Source: the Alexandria database, functional GGA-PBEsol.

Unit cell a=4.5792 b=4.5792 c=4.6013 alpha=90.00 beta=90.00 gamma=90.00
With the nearest neighbours (Å) after each atom.
Element x y z (fractional)
Ta1 0.0000 0.5000 0.0000  2 P 2.29
Ta2 0.5000 0.0000 0.0000  2 P 2.29
Re1 0.0000 0.0000 0.5000  4 Br 3.24, 8 Ta 3.25
P1 0.5000 0.5000 0.0000  4 Ta 2.29, 2 Br 2.30
Br1 0.5000 0.5000 0.5000  2 P 2.30

Output
Calculated total energy: -7.609 eV per atom
Energy relative to the elements, uncorrected: 1.610 eV per atom
Fermi-level density of states: 6.1 states/eV/cell
Space-group type: No. 123

***

Entry 3:
A geometry-optimized P3RhBr structure. Source: the Alexandria database, functional GGA-PBEsol.

Unit cell a=4.5915 b=4.5915 c=4.5915 alpha=90.00 beta=90.00 gamma=90.00
With the nearest neighbours (Å) after each atom.
Element x y z (fractional)
P1 0.0000 0.0000 0.5000  2 Rh 2.30
P2 0.0000 0.5000 0.0000  2 Rh 2.30
P3 0.5000 0.0000 0.0000  2 Rh 2.30
Rh1 0.0000 0.0000 0.0000  6 P 2.30
Br1 0.5000 0.5000 0.5000  12 P 3.25

Output
Calculated total energy: -4.830 eV per atom
Energy relative to the elements, uncorrected: 0.646 eV per atom
Fermi-level density of states: 6.2 states/eV/cell
Space-group type: No. 221

***

Entry 4:
A geometry-optimized P2RuBr structure. Source: the Alexandria database, functional GGA-PBEsol.

Unit cell a=2.8003 b=2.8003 c=9.5908 alpha=90.00 beta=90.00 gamma=90.00
With the nearest neighbours (Å) after each atom.
Element x y z (fractional)
P1 0.0000 0.0000 0.1586  4 Ru 2.50
P2 0.0000 0.0000 0.8414  4 Ru 2.50
Ru1 0.5000 0.5000 0.0000  8 P 2.50
Br1 0.5000 0.5000 0.5000  4 Br 2.80

Output
Calculated total energy: -5.891 eV per atom
Energy relative to the elements, uncorrected: 0.016 eV per atom
Fermi-level density of states: 1.6 states/eV/cell
Polymorph energy (0 for the lowest one): 0 meV per atom
Space-group type: No. 123